# Pm3DyRh4 | Alexandria via LeMat-Bulk | PBE-GGA | optimized geometry
data_Pm3DyRh4
_chemical_formula_sum 'Pm3 Dy1 Rh4'
_symmetry_space_group_name_H-M 'P 1'
_symmetry_Int_Tables_number 1
_cell_length_a 4.932
_cell_length_b 4.932
_cell_length_c 7.846
_cell_angle_alpha 108.40
_cell_angle_beta 108.39
_cell_angle_gamma 89.73
loop_
_symmetry_equiv_pos_as_xyz
'x,y,z'
loop_
_atom_site_label
_atom_site_type_symbol
_atom_site_fract_x
_atom_site_fract_y
_atom_site_fract_z
Dy1 Dy 0.500 0.000 0.000
Rh1 Rh 0.378 0.378 0.755
Rh2 Rh 0.622 0.622 0.245
Rh3 Rh 0.122 0.122 0.245
Rh4 Rh 0.878 0.878 0.755
Pm1 Pm 0.000 0.500 0.000
Pm2 Pm 0.749 0.249 0.499
Pm3 Pm 0.251 0.751 0.501
# E in eV/atom: -6.761
# Energy relative to the elements in eV/atom: -0.7283

***

# ScTlBiF2 | Alexandria via LeMat-Bulk | PBE-GGA | optimized geometry
data_ScTlBiF2
_chemical_formula_sum 'Sc1 Tl1 Bi1 F2'
_symmetry_space_group_name_H-M 'P 1'
_symmetry_Int_Tables_number 1
_cell_length_a 4.304
_cell_length_b 4.304
_cell_length_c 6.144
_cell_angle_alpha 90.00
_cell_angle_beta 90.00
_cell_angle_gamma 90.00
loop_
_symmetry_equiv_pos_as_xyz
'x,y,z'
loop_
_atom_site_label
_atom_site_type_symbol
_atom_site_fract_x
_atom_site_fract_y
_atom_site_fract_z
Sc1 Sc 0.000 0.000 0.000
Tl1 Tl 0.500 0.500 0.500
Bi1 Bi 0.000 0.000 0.500
F1 F 0.000 0.500 0.000
F2 F 0.500 0.000 0.000
# E in eV/atom: -5.251

***

# Ge3SbTe3 | Alexandria via LeMat-Bulk | PBE-GGA | optimized geometry
data_Ge3SbTe3
_chemical_formula_sum 'Ge6 Sb2 Te6'
_symmetry_space_group_name_H-M 'P 1'
_symmetry_Int_Tables_number 1
_cell_length_a 9.312
_cell_length_b 9.312
_cell_length_c 8.030
_cell_angle_alpha 54.56
_cell_angle_beta 54.56
_cell_angle_gamma 60.00
loop_
_symmetry_equiv_pos_as_xyz
'x,y,z'
loop_
_atom_site_label
_atom_site_type_symbol
_atom_site_fract_x
_atom_site_fract_y
_atom_site_fract_z
Ge1 Ge 0.289 0.558 0.231
Ge2 Ge 0.921 0.289 0.231
Ge3 Ge 0.558 0.921 0.231
Ge4 Ge 0.442 0.079 0.769
Ge5 Ge 0.079 0.711 0.769
Ge6 Ge 0.711 0.442 0.769
Sb1 Sb 0.421 0.421 0.736
Sb2 Sb 0.579 0.579 0.264
Te1 Te 0.446 0.771 0.755
Te2 Te 0.771 0.027 0.755
Te3 Te 0.027 0.446 0.755
Te4 Te 0.973 0.554 0.245
Te5 Te 0.229 0.973 0.245
Te6 Te 0.554 0.229 0.245
# E in eV/atom: -3.839

***

# ZnReOs2 | Alexandria via LeMat-Bulk | PBE-GGA | optimized geometry
data_ZnReOs2
_chemical_formula_sum 'Zn1 Re1 Os2'
_symmetry_space_group_name_H-M 'P 1'
_symmetry_Int_Tables_number 1
_cell_length_a 2.741
_cell_length_b 2.741
_cell_length_c 7.721
_cell_angle_alpha 90.00
_cell_angle_beta 90.00
_cell_angle_gamma 90.00
loop_
_symmetry_equiv_pos_as_xyz
'x,y,z'
loop_
_atom_site_label
_atom_site_type_symbol
_atom_site_fract_x
_atom_site_fract_y
_atom_site_fract_z
Os1 Os 0.000 0.000 0.005
Os2 Os 0.500 0.500 0.245
Re1 Re 0.000 0.000 0.495
Zn1 Zn 0.500 0.500 0.755
# E in eV/atom: -8.820
# Energy relative to the elements in eV/atom: 0.2253

***

# NdTlZn2 | Alexandria via LeMat-Bulk | PBE-GGA | optimized geometry
data_NdTlZn2
_chemical_formula_sum 'Nd1 Tl1 Zn2'
_symmetry_space_group_name_H-M 'P 1'
_symmetry_Int_Tables_number 1
_cell_length_a 5.031
_cell_length_b 5.031
_cell_length_c 5.031
_cell_angle_alpha 60.00
_cell_angle_beta 60.00
_cell_angle_gamma 60.00
loop_
_symmetry_equiv_pos_as_xyz
'x,y,z'
loop_
_atom_site_label
_atom_site_type_symbol
_atom_site_fract_x
_atom_site_fract_y
_atom_site_fract_z
Tl1 Tl 0.000 0.000 0.000
Nd1 Nd 0.500 0.500 0.500
Zn1 Zn 0.250 0.250 0.250
Zn2 Zn 0.750 0.750 0.750
# E in eV/atom: -2.614
# Excess energy over the best structure of this formula in the dataset in eV/atom: 0.0143
# Energy relative to the elements in eV/atom: -0.1939

***

# CsSBr2 | Alexandria via LeMat-Bulk | PBE-GGA | optimized geometry
data_CsSBr2
_chemical_formula_sum 'Cs1 S1 Br2'
_symmetry_space_group_name_H-M 'P 1'
_symmetry_Int_Tables_number 1
_cell_length_a 5.845
_cell_length_b 5.845
_cell_length_c 5.845
_cell_angle_alpha 60.00
_cell_angle_beta 60.00
_cell_angle_gamma 60.00
loop_
_symmetry_equiv_pos_as_xyz
'x,y,z'
loop_
_atom_site_label
_atom_site_type_symbol
_atom_site_fract_x
_atom_site_fract_y
_atom_site_fract_z
Cs1 Cs 0.500 0.500 0.500
S1 S 0.000 0.000 0.000
Br1 Br 0.250 0.250 0.250
Br2 Br 0.750 0.750 0.750
# E in eV/atom: -2.280
# Excess energy over the best structure of this formula in the dataset in eV/atom: 0.7094

***

# AsH2IBr | Alexandria via LeMat-Bulk | PBE-GGA | optimized geometry
data_AsH2IBr
_chemical_formula_sum 'As1 H2 I1 Br1'
_symmetry_space_group_name_H-M 'P 1'
_symmetry_Int_Tables_number 1
_cell_length_a 4.192
_cell_length_b 5.672
_cell_length_c 4.192
_cell_angle_alpha 90.00
_cell_angle_beta 90.00
_cell_angle_gamma 90.00
loop_
_symmetry_equiv_pos_as_xyz
'x,y,z'
loop_
_atom_site_label
_atom_site_type_symbol
_atom_site_fract_x
_atom_site_fract_y
_atom_site_fract_z
I1 I 0.500 0.500 0.500
H1 H 0.000 0.000 0.500
H2 H 0.500 0.000 0.000
As1 As 0.000 0.000 0.000
Br1 Br 0.000 0.500 0.000
# E in eV/atom: -2.314

***

# TlOsI2O | Alexandria via LeMat-Bulk | PBE-GGA | optimized geometry
data_TlOsI2O
_chemical_formula_sum 'Tl1 Os1 I2 O1'
_symmetry_space_group_name_H-M 'P 1'
_symmetry_Int_Tables_number 1
_cell_length_a 6.092
_cell_length_b 6.092
_cell_length_c 4.033
_cell_angle_alpha 90.00
_cell_angle_beta 90.00
_cell_angle_gamma 90.00
loop_
_symmetry_equiv_pos_as_xyz
'x,y,z'
loop_
_atom_site_label
_atom_site_type_symbol
_atom_site_fract_x
_atom_site_fract_y
_atom_site_fract_z
I1 I 0.000 0.500 0.000
I2 I 0.500 0.000 0.000
Tl1 Tl 0.000 0.000 0.000
Os1 Os 0.500 0.500 0.500
O1 O 0.000 0.000 0.500
# E in eV/atom: -3.095
# Excess energy over the best structure of this formula in the dataset in eV/atom: 1.4189

***

# CaTm2Tl9 | Alexandria via LeMat-Bulk | PBE-GGA | optimized geometry
data_CaTm2Tl9
_chemical_formula_sum 'Ca1 Tm2 Tl9'
_symmetry_space_group_name_H-M 'P 1'
_symmetry_Int_Tables_number 1
_cell_length_a 4.783
_cell_length_b 4.783
_cell_length_c 14.332
_cell_angle_alpha 90.00
_cell_angle_beta 90.00
_cell_angle_gamma 90.00
loop_
_symmetry_equiv_pos_as_xyz
'x,y,z'
loop_
_atom_site_label
_atom_site_type_symbol
_atom_site_fract_x
_atom_site_fract_y
_atom_site_fract_z
Ca1 Ca 0.000 0.000 0.000
Tm1 Tm 0.000 0.000 0.339
Tm2 Tm 0.000 0.000 0.661
Tl1 Tl 0.500 0.500 0.000
Tl2 Tl 0.500 0.500 0.333
Tl3 Tl 0.500 0.500 0.667
Tl4 Tl 0.500 0.000 0.171
Tl5 Tl 0.500 0.000 0.500
Tl6 Tl 0.500 0.000 0.829
Tl7 Tl 0.000 0.500 0.171
Tl8 Tl 0.000 0.500 0.500
Tl9 Tl 0.000 0.500 0.829
# E in eV/atom: -2.887
# Energy relative to the elements in eV/atom: -0.2001

***

# Rb2TlSe2 | Alexandria via LeMat-Bulk | PBE-GGA | optimized geometry
data_Rb2TlSe2
_chemical_formula_sum 'Rb4 Tl2 Se4'
_symmetry_space_group_name_H-M 'P 1'
_symmetry_Int_Tables_number 1
_cell_length_a 6.960
_cell_length_b 8.615
_cell_length_c 10.108
_cell_angle_alpha 117.72
_cell_angle_beta 90.00
_cell_angle_gamma 113.83
loop_
_symmetry_equiv_pos_as_xyz
'x,y,z'
loop_
_atom_site_label
_atom_site_type_symbol
_atom_site_fract_x
_atom_site_fract_y
_atom_site_fract_z
Rb1 Rb 0.666 0.331 0.571
Rb2 Rb 0.334 0.669 0.429
Rb3 Rb 0.043 0.085 0.754
Rb4 Rb 0.957 0.915 0.246
Tl1 Tl 0.369 0.738 0.851
Tl2 Tl 0.631 0.262 0.149
Se1 Se 0.182 0.365 0.590
Se2 Se 0.818 0.635 0.410
Se3 Se 0.459 0.918 0.186
Se4 Se 0.541 0.082 0.814
# E in eV/atom: -2.964
# Excess energy over the best structure of this formula in the dataset in eV/atom: 0.1202

***

# La3Tb2Y7 | Alexandria via LeMat-Bulk | PBE-GGA | optimized geometry
data_La3Tb2Y7
_chemical_formula_sum 'La3 Tb2 Y7'
_symmetry_space_group_name_H-M 'P 1'
_symmetry_Int_Tables_number 1
_cell_length_a 3.685
_cell_length_b 5.676
_cell_length_c 20.644
_cell_angle_alpha 90.00
_cell_angle_beta 95.11
_cell_angle_gamma 90.00
loop_
_symmetry_equiv_pos_as_xyz
'x,y,z'
loop_
_atom_site_label
_atom_site_type_symbol
_atom_site_fract_x
_atom_site_fract_y
_atom_site_fract_z
La1 La 0.500 0.500 0.000
La2 La 0.830 0.000 0.659
La3 La 0.170 0.000 0.341
Tb1 Tb 0.363 0.500 0.726
Tb2 Tb 0.637 0.500 0.274
Y1 Y 0.285 0.500 0.569
Y2 Y 0.715 0.500 0.431
Y3 Y 0.415 0.000 0.831
Y4 Y 0.000 0.000 0.000
Y5 Y 0.585 0.000 0.169
Y6 Y 0.068 0.500 0.136
Y7 Y 0.932 0.500 0.864
# E in eV/atom: -5.545
# Energy relative to the elements in eV/atom: 0.2289

***

# Np2U5Tc5 | Alexandria via LeMat-Bulk | PBE-GGA | optimized geometry
data_Np2U5Tc5
_chemical_formula_sum 'Np2 U5 Tc5'
_symmetry_space_group_name_H-M 'P 1'
_symmetry_Int_Tables_number 1
_cell_length_a 4.477
_cell_length_b 5.455
_cell_length_c 9.995
_cell_angle_alpha 77.79
_cell_angle_beta 77.06
_cell_angle_gamma 65.77
loop_
_symmetry_equiv_pos_as_xyz
'x,y,z'
loop_
_atom_site_label
_atom_site_type_symbol
_atom_site_fract_x
_atom_site_fract_y
_atom_site_fract_z
Np1 Np 0.920 0.409 0.752
Np2 Np 0.080 0.591 0.248
U1 U 0.836 0.843 0.486
U2 U 0.261 0.716 0.763
U3 U 0.739 0.284 0.237
U4 U 0.164 0.157 0.514
U5 U 0.000 0.000 0.000
Tc1 Tc 0.500 0.500 0.500
Tc2 Tc 0.354 0.285 0.006
Tc3 Tc 0.411 0.926 0.252
Tc4 Tc 0.589 0.074 0.748
Tc5 Tc 0.646 0.715 0.994
# E in eV/atom: -11.239
# Energy relative to the elements in eV/atom: -0.0601

***

# Tb3Pm7Sm2 | Alexandria via LeMat-Bulk | PBE-GGA | optimized geometry
data_Tb3Pm7Sm2
_chemical_formula_sum 'Tb3 Pm7 Sm2'
_symmetry_space_group_name_H-M 'P 1'
_symmetry_Int_Tables_number 1
_cell_length_a 3.573
_cell_length_b 6.461
_cell_length_c 18.199
_cell_angle_alpha 75.30
_cell_angle_beta 90.00
_cell_angle_gamma 90.00
loop_
_symmetry_equiv_pos_as_xyz
'x,y,z'
loop_
_atom_site_label
_atom_site_type_symbol
_atom_site_fract_x
_atom_site_fract_y
_atom_site_fract_z
Tb1 Tb 0.500 0.500 0.000
Tb2 Tb 0.000 0.113 0.340
Tb3 Tb 0.000 0.887 0.660
Pm1 Pm 0.500 0.240 0.503
Pm2 Pm 0.500 0.760 0.497
Pm3 Pm 0.000 0.559 0.166
Pm4 Pm 0.000 0.000 0.000
Pm5 Pm 0.000 0.441 0.834
Pm6 Pm 0.500 0.943 0.831
Pm7 Pm 0.500 0.057 0.169
Sm1 Sm 0.500 0.612 0.329
Sm2 Sm 0.500 0.388 0.671
# E in eV/atom: -4.647
# Excess energy over the best structure of this formula in the dataset in eV/atom: 0.0000
# Energy relative to the elements in eV/atom: 0.0685

***

For the records above, the corresponding spin magnetization values read 0.00 0.00 0.00 0.00 0.00 3.00 0.00 3.83 0.00 0.85 1.00 5.25 0.00 μB/f.u..